1.
Entry from Alexandria: a geometry-optimized Tl4CrIn structure (PBE-GGA).

```
data_Tl4CrIn
_chemical_formula_sum 'Tl16 Cr4 In4'
_symmetry_space_group_name_H-M 'F -4 3 m'
_symmetry_Int_Tables_number 216
_symmetry_space_group_name_Hall 'F -4 2 3'
_cell_length_a 8.972
_cell_length_b 8.972
_cell_length_c 8.972
_cell_angle_alpha 90.00
_cell_angle_beta 90.00
_cell_angle_gamma 90.00
loop_
_atom_site_label
_atom_site_fract_x
_atom_site_fract_y
_atom_site_fract_z
Tl1 0.125 0.125 0.125
Cr1 0.250 0.250 0.750
In1 0.000 0.000 0.500
```

Calculated values
Total energy, eV/cell: -75.4
Formation energy, kJ/mol of atoms: 48

2.
Entry from Alexandria: a geometry-optimized TlCrIn structure (PBE-GGA).

```
data_TlCrIn
_chemical_formula_sum 'Tl1 Cr1 In1'
_symmetry_space_group_name_H-M 'P 3 m 1'
_symmetry_Int_Tables_number 156
_cell_length_a 3.3988
_cell_length_b 3.3988
_cell_length_c 7.0331
_cell_angle_alpha 90.00
_cell_angle_beta 90.00
_cell_angle_gamma 120.00
loop_
_symmetry_equiv_pos_as_xyz
'x,y,z'
'-y,x-y,z'
'-x+y,-x,z'
'-y,-x,z'
'-x+y,y,z'
'x,x-y,z'
loop_
_atom_site_label
_atom_site_fract_x
_atom_site_fract_y
_atom_site_fract_z
Tl1 0.0000 0.0000 0.0000
Cr1 0.6667 0.3333 0.3217
In1 0.3333 0.6667 0.6276
```

Calculated values
Relative energy among the computed polymorphs, eV/f.u.: 0.10
Total energy, eV/cell: -13.3
Formation energy, kJ/mol of atoms: 46

- Which of these has the lowest total energy?
  Tl4CrIn

Copy entry 2 word for word.
Entry from Alexandria: a geometry-optimized TlCrIn structure (PBE-GGA).

```
data_TlCrIn
_chemical_formula_sum 'Tl1 Cr1 In1'
_symmetry_space_group_name_H-M 'P 3 m 1'
_symmetry_Int_Tables_number 156
_cell_length_a 3.3988
_cell_length_b 3.3988
_cell_length_c 7.0331
_cell_angle_alpha 90.00
_cell_angle_beta 90.00
_cell_angle_gamma 120.00
loop_
_symmetry_equiv_pos_as_xyz
'x,y,z'
'-y,x-y,z'
'-x+y,-x,z'
'-y,-x,z'
'-x+y,y,z'
'x,x-y,z'
loop_
_atom_site_label
_atom_site_fract_x
_atom_site_fract_y
_atom_site_fract_z
Tl1 0.0000 0.0000 0.0000
Cr1 0.6667 0.3333 0.3217
In1 0.3333 0.6667 0.6276
```

Calculated values
Relative energy among the computed polymorphs, eV/f.u.: 0.10
Total energy, eV/cell: -13.3
Formation energy, kJ/mol of atoms: 46

Please write out number 1 again, unchanged.
Entry from Alexandria: a geometry-optimized Tl4CrIn structure (PBE-GGA).

```
data_Tl4CrIn
_chemical_formula_sum 'Tl16 Cr4 In4'
_symmetry_space_group_name_H-M 'F -4 3 m'
_symmetry_Int_Tables_number 216
_symmetry_space_group_name_Hall 'F -4 2 3'
_cell_length_a 8.972
_cell_length_b 8.972
_cell_length_c 8.972
_cell_angle_alpha 90.00
_cell_angle_beta 90.00
_cell_angle_gamma 90.00
loop_
_atom_site_label
_atom_site_fract_x
_atom_site_fract_y
_atom_site_fract_z
Tl1 0.125 0.125 0.125
Cr1 0.250 0.250 0.750
In1 0.000 0.000 0.500
```

Calculated values
Total energy, eV/cell: -75.4
Formation energy, kJ/mol of atoms: 48